1.
This record from the Alexandria database describes a crystal of K2InPbSe relaxed with PBEsol. The functional is SCAN.

Lattice parameters (Å, degrees): 5.9133 5.9133 5.8210 90.00 90.00 90.00
Space group P4/mmm (No. 123)
Unique sites:
K1 0.0000 0.5000 0.0000 (multiplicity 2)
In1 0.0000 0.0000 0.5000 (multiplicity 1)
Pb1 0.5000 0.5000 0.5000 (multiplicity 1)
Se1 0.5000 0.5000 0.0000 (multiplicity 1)

Computed properties:
The volume is 40.709 A^3/atom. Its formation energy from raw total energies is -0.234 eV per atom. As for the density: 3.9 g/cm3. For the density of states at the Fermi level, the calculation gives 0.9362 states/eV per atom.

=====

2.
This record from the Alexandria database describes a crystal of CoCl2F relaxed with PBEsol. The functional is SCAN.

Lattice parameters (Å, degrees): 3.3320 3.3320 22.9035 90.00 90.00 120.00
Space group R-3m (No. 166, hexagonal axes)
Unique sites:
Co1 0.0000 0.0000 0.0000 (multiplicity 3)
Cl1 0.0000 0.0000 0.0883 (multiplicity 6)
F1 0.0000 0.0000 0.5000 (multiplicity 3)

Computed properties:
The volume is 18.351 A^3/atom. Its formation energy from raw total energies is 0.032 eV per atom. As for the density: 3.4 g/cm3. For the density of states at the Fermi level, the calculation gives 0.7855 states/eV per atom.

=====

3.
This record from the Alexandria database describes a crystal of Cd2AgPb relaxed with PBEsol. The functional is SCAN.

Lattice parameters (Å, degrees): 3.0603 5.4061 10.7433 90.00 90.00 90.00
Space group Immm (No. 71)
Unique sites:
Cd1 0.0000 0.0000 0.2253 (multiplicity 4)
Ag1 0.0000 0.5000 0.5000 (multiplicity 2)
Pb1 0.0000 0.5000 0.0000 (multiplicity 2)

Computed properties:
The volume is 22.217 A^3/atom. As for the density: 10.1 g/cm3. For the density of states at the Fermi level, the calculation gives 0.2993 states/eV per atom. The value obtained for the energy of formation is 0.0664 eV per atom.

=====

4.
This record from the Alexandria database describes a crystal of ZnIrOs2 relaxed with PBEsol. The functional is SCAN.

Lattice parameters (Å, degrees): 2.8509 4.3903 8.8153 90.00 90.00 90.00
Space group Immm (No. 71)
Unique sites:
Zn1 0.0000 0.0000 0.0000 (multiplicity 2)
Ir1 0.0000 0.0000 0.5000 (multiplicity 2)
Os1 0.0000 0.5000 0.2681 (multiplicity 4)

Computed properties:
The volume is 13.792 A^3/atom. As for the density: 19.2 g/cm3. For the density of states at the Fermi level, the calculation gives 0.7332 states/eV per atom. The value obtained for the energy of formation is 0.3516 eV per atom.

=====

5.
This record from the Alexandria database describes a crystal of NbRuF3 relaxed with PBEsol. The functional is SCAN.

Lattice parameters (Å, degrees): 4.1477 4.1477 4.1477 90.00 90.00 90.00
Space group Pm-3m (No. 221)
Unique sites:
Nb1 0.0000 0.0000 0.0000 (multiplicity 1)
Ru1 0.5000 0.5000 0.5000 (multiplicity 1)
F1 0.0000 0.5000 0.5000 (multiplicity 3)

Computed properties:
The volume is 14.271 A^3/atom. Its formation energy from raw total energies is -0.529 eV per atom. As for the density: 5.8 g/cm3. For the density of states at the Fermi level, the calculation gives 0.9849 states/eV per atom.

=====

6.
This record from the Alexandria database describes a crystal of ZnOs2Se relaxed with PBEsol. The functional is SCAN.

Lattice parameters (Å, degrees): 2.8350 2.8350 7.7852 90.00 90.00 90.00
Space group P4mm (No. 99)
Unique sites:
Zn1 0.0000 0.0000 0.0000 (multiplicity 1)
Os1 0.0000 0.0000 0.4434 (multiplicity 1)
Os2 0.5000 0.5000 0.2227 (multiplicity 1)
Se1 0.5000 0.5000 0.6691 (multiplicity 1)

Computed properties:
The volume is 15.643 A^3/atom. Its formation energy from raw total energies is 0.364 eV per atom. As for the density: 13.9 g/cm3. The excess energy over the best structure of this formula in the dataset comes out at 0.0000 eV per atom. For the density of states at the Fermi level, the calculation gives 0.7156 states/eV per atom.